(1)
Here is an optimized crystal structure of PrHoCdTc from the Alexandria database. Energies are from PBE.

Properties
ΔE_f = -0.01 eV/atom
Density of states at the Fermi level = 0.5811 states/eV/atom
M_tot = 0.0 Bohr magnetons per cell

a = 5.130 Å, b = 5.130 Å, c = 5.130 Å
α = 60.00°, β = 60.00°, γ = 60.00°
Positions (direct):
Pr1 0.000 0.000 0.000
Tc1 0.750 0.750 0.750
Ho1 0.500 0.500 0.500
Cd1 0.250 0.250 0.250

---

(2)
Here is an optimized crystal structure of Ba2CoI from the Alexandria database. Energies are from PBE.

Properties
Density of states at the Fermi level = 0.0000 states/eV/atom
Formation energy (no corrections) = -0.72 eV/f.u.
Relative energy among the computed polymorphs = 0.0 meV/atom
M_tot = 0.0 Bohr magnetons per cell

a = 8.308 Å, b = 8.308 Å, c = 7.579 Å
α = 56.76°, β = 56.76°, γ = 90.00°
Positions (direct):
I1 0.000 0.000 0.000
Ba1 0.551 0.125 0.250
I2 0.750 0.250 0.500
Ba2 0.199 0.625 0.250
Ba3 0.375 0.449 0.750
Co1 0.250 0.750 0.500
Ba4 0.875 0.801 0.750
Co2 0.500 0.500 0.000

---

(3)
Here is an optimized crystal structure of KScMn2 from the Alexandria database. Energies are from PBE.

Properties
ΔE_f = 0.99 eV/atom
Density of states at the Fermi level = 1.4617 states/eV/atom
Relative energy among the computed polymorphs = 552.3 meV/atom
M_tot = 6.9 Bohr magnetons per cell

a = 5.532 Å, b = 5.532 Å, c = 5.532 Å
α = 132.25°, β = 132.25°, γ = 69.83°
Each line ends with the local moment (μB).
Positions (direct):
K1 0.750 0.250 0.500  -0.02
Sc1 0.500 0.500 0.000  -0.61
Mn1 0.250 0.750 0.500  3.69
Mn2 0.000 0.000 0.000  3.78

---

(4)
Here is an optimized crystal structure of LiPr2Hf from the Alexandria database. Energies are from PBE.

Properties
ΔE_f = 0.43 eV/atom
Density of states at the Fermi level = 1.1211 states/eV/atom
Relative energy among the computed polymorphs = 283.8 meV/atom
M_tot = 0.3 Bohr magnetons per cell

a = 3.312 Å, b = 3.312 Å, c = 12.180 Å
α = 82.19°, β = 82.19°, γ = 60.00°
Each line ends with the local moment (μB).
Positions (direct):
Li1 0.500 0.500 0.500  0.00
Pr1 0.915 0.915 0.256  0.04
Hf1 0.000 0.000 0.000  0.13
Pr2 0.085 0.085 0.744  0.04

---

(5)
Here is an optimized crystal structure of Mg2CoPW from the Alexandria database. Energies are from PBE.

Properties
ΔE_f = 0.86 eV/atom
Density of states at the Fermi level = 0.5709 states/eV/atom
Relative energy among the computed polymorphs = 53.5 meV/atom
M_tot = 2.5 Bohr magnetons per cell

a = 4.775 Å, b = 4.019 Å, c = 4.775 Å
α = 90.00°, β = 90.00°, γ = 90.00°
Each line ends with the local moment (μB).
Positions (direct):
Co1 0.000 0.500 0.000  -0.11
W1 0.500 0.500 0.500  1.95
Mg1 0.500 0.000 0.000  0.00
P1 0.000 0.000 0.000  0.06
Mg2 0.000 0.000 0.500  -0.01

---

(6)
Here is an optimized crystal structure of CuAsP2 from the Alexandria database. Energies are from PBE.

Properties
ΔE_f = 0.58 eV/atom
Density of states at the Fermi level = 0.3814 states/eV/atom
M_tot = 0.0 Bohr magnetons per cell

a = 4.303 Å, b = 4.303 Å, c = 9.456 Å
α = 90.00°, β = 90.00°, γ = 120.00°
Positions (direct):
P1 0.667 0.333 0.630
P2 0.667 0.333 0.870
As1 0.667 0.333 0.250
As2 0.333 0.667 0.750
Cu1 0.000 0.000 0.750
P3 0.333 0.667 0.370
P4 0.333 0.667 0.130
Cu2 0.000 0.000 0.250

---

(7)
Here is an optimized crystal structure of DyNpInO6 from the Alexandria database. Energies are from PBE.

Properties
Density of states at the Fermi level = 0.1298 states/eV/atom
Formation energy (no corrections) = -23.12 eV/f.u.
M_tot = 2.0 Bohr magnetons per cell

a = 5.699 Å, b = 5.699 Å, c = 9.080 Å
α = 90.00°, β = 90.00°, γ = 120.00°
Each line ends with the local moment (μB).
Positions (direct):
O1 0.351 0.325 0.370  -0.04
O2 0.026 0.675 0.870  -0.04
Np1 0.333 0.667 0.750  1.22
Dy1 0.333 0.667 0.250  0.00
O3 0.026 0.351 0.630  -0.04
O4 0.675 0.649 0.130  -0.04
O5 0.974 0.649 0.370  -0.04
O6 0.351 0.026 0.130  -0.04
O7 0.649 0.974 0.870  -0.04
O8 0.649 0.675 0.630  -0.04
O9 0.675 0.026 0.370  -0.04
O10 0.325 0.351 0.870  -0.04
O11 0.974 0.325 0.130  -0.04
In1 0.000 0.000 0.000  -0.01
Np2 0.667 0.333 0.250  1.22
In2 0.000 0.000 0.500  -0.01
O12 0.325 0.974 0.630  -0.04
Dy2 0.667 0.333 0.750  0.00

---

(8)
Here is an optimized crystal structure of LiIrCl2 from the Alexandria database. Energies are from PBE.

Properties
Density of states at the Fermi level = 0.2631 states/eV/atom
Formation energy (no corrections) = -0.15 eV/f.u.
Relative energy among the computed polymorphs = 444.1 meV/atom
M_tot = 2.0 Bohr magnetons per cell

a = 7.379 Å, b = 7.379 Å, c = 7.379 Å
α = 26.04°, β = 26.04°, γ = 26.04°
Each line ends with the local moment (μB).
Positions (direct):
Cl1 0.490 0.490 0.490  0.11
Li1 0.750 0.750 0.750  0.01
Ir1 0.250 0.250 0.250  1.67
Cl2 0.010 0.010 0.010  0.11

---

(9)
Here is an optimized crystal structure of Mg3SiPd3 from the Alexandria database. Energies are from PBE.

Properties
Density of states at the Fermi level = 0.2742 states/eV/atom
Formation energy (no corrections) = -3.81 eV/f.u.
M_tot = 0.0 Bohr magnetons per cell

a = 5.690 Å, b = 5.690 Å, c = 7.449 Å
α = 90.63°, β = 90.63°, γ = 93.37°
Positions (direct):
Mg1 0.726 0.274 0.000
Mg2 0.826 0.174 0.500
Pd1 0.043 0.043 0.806
Si1 0.244 0.244 0.046
Mg3 0.274 0.726 0.000
Mg4 0.356 0.356 0.640
Pd2 0.901 0.543 0.705
Si2 0.756 0.756 0.954
Pd3 0.957 0.957 0.194
Pd4 0.099 0.457 0.295
Pd5 0.457 0.099 0.295
Mg5 0.174 0.826 0.500
Pd6 0.543 0.901 0.705
Mg6 0.644 0.644 0.360

---

(10)
Here is an optimized crystal structure of LiYCd4 from the Alexandria database. Energies are from PBE.

Properties
ΔE_f = -0.21 eV/atom
Density of states at the Fermi level = 0.4698 states/eV/atom
Relative energy among the computed polymorphs = 34.3 meV/atom
M_tot = 0.0 Bohr magnetons per cell

a = 3.964 Å, b = 5.319 Å, c = 7.656 Å
α = 101.84°, β = 74.99°, γ = 68.12°
Positions (direct):
Cd1 0.185 0.481 0.148
Li1 0.000 0.000 0.000
Cd2 0.815 0.519 0.852
Cd3 0.364 0.975 0.297
Y1 0.500 0.500 0.500
Cd4 0.636 0.025 0.703

---

(11)
Here is an optimized crystal structure of BiSb2OsI from the Alexandria database. Energies are from PBE.

Properties
Density of states at the Fermi level = 1.0107 states/eV/atom
Formation energy (no corrections) = 3.14 eV/f.u.
Relative energy among the computed polymorphs = 0.0 meV/atom
M_tot = 0.0 Bohr magnetons per cell

a = 5.117 Å, b = 5.117 Å, c = 5.641 Å
α = 90.00°, β = 90.00°, γ = 90.00°
Positions (direct):
Os1 0.000 0.000 0.000
Sb1 0.500 0.000 0.000
Sb2 0.000 0.500 0.000
Bi1 0.500 0.500 0.500
I1 0.000 0.000 0.500

---

(12)
Here is an optimized crystal structure of Cs3Ba4C3O9F5 from the Alexandria database. Energies are from PBE.

Properties
Density of states at the Fermi level = 0.0000 states/eV/atom
Formation energy (no corrections) = -61.57 eV/f.u.
M_tot = 0.0 Bohr magnetons per cell

a = 7.718 Å, b = 11.716 Å, c = 11.716 Å
α = 120.00°, β = 90.00°, γ = 90.00°
Positions (direct):
Cs1 0.432 0.880 0.120
Cs2 0.932 0.759 0.880
Ba1 0.094 0.537 0.075
O1 0.283 0.305 0.417
F1 0.915 0.143 0.571
O2 0.283 0.583 0.695
O3 0.783 0.695 0.583
C1 0.864 0.801 0.199
F2 0.415 0.857 0.429
Ba2 0.594 0.463 0.537
O4 0.527 0.182 0.818
F3 0.915 0.429 0.857
O5 0.783 0.695 0.112
C2 0.864 0.801 0.602
O6 0.527 0.635 0.818
F4 0.190 0.000 0.000
O7 0.027 0.818 0.182
Cs3 0.932 0.120 0.880
O8 0.527 0.182 0.365
C3 0.364 0.602 0.801
F5 0.690 0.000 0.000
C4 0.864 0.398 0.199
Cs4 0.432 0.880 0.759
O9 0.783 0.888 0.583
F6 0.915 0.429 0.571
Cs5 0.932 0.120 0.241
C5 0.364 0.199 0.398
O10 0.283 0.112 0.417
C6 0.364 0.199 0.801
O11 0.283 0.305 0.888
Ba3 0.639 0.667 0.333
F7 0.415 0.571 0.429
Ba4 0.094 0.925 0.463
O12 0.283 0.112 0.695
F8 0.500 0.333 0.667
O13 0.783 0.417 0.112
F9 0.000 0.667 0.333
O14 0.283 0.583 0.888
Ba5 0.594 0.075 0.537
O15 0.027 0.818 0.635
O16 0.783 0.417 0.305
O17 0.783 0.888 0.305
F10 0.415 0.571 0.143
Ba6 0.139 0.333 0.667
O18 0.027 0.365 0.182
Cs6 0.432 0.241 0.120
Ba7 0.094 0.537 0.463
Ba8 0.594 0.463 0.925